No. 1
Below is a relaxed structure of ScTiNiPb2, with properties calculated at the PBEsol level.

## Properties
Its density of states at the Fermi level is 6.916 states/eV per cell. The formation energy is 894 meV per atom. Its space group is No. 123.

Cell lengths 5.415, 5.415, 4.288 Å; angles 90.00, 90.00, 90.00 degrees
Positions (direct):
Sc 0.000 0.000 0.000
Ti 0.500 0.500 0.500
Ni 0.000 0.000 0.500
Pb 0.000 0.500 0.000
Pb 0.500 0.000 0.000

=====

No. 2
Below is a relaxed structure of Ni2PbSe, with properties calculated at the PBEsol level.

## Properties
Its density of states at the Fermi level is 11.519 states/eV per cell. The energy relative to the elements, uncorrected comes out at 0.22 eV per atom. Its space group is No. 225.

Cell lengths 6.316, 6.316, 6.316 Å; angles 90.00, 90.00, 90.00 degrees
Positions (direct):
Ni 0.250 0.250 0.250
Ni 0.250 0.250 0.750
Ni 0.250 0.750 0.250
Ni 0.250 0.750 0.750
Ni 0.750 0.250 0.250
Ni 0.750 0.250 0.750
Ni 0.750 0.750 0.250
Ni 0.750 0.750 0.750
Pb 0.000 0.000 0.000
Pb 0.000 0.500 0.500
Pb 0.500 0.000 0.500
Pb 0.500 0.500 0.000
Se 0.000 0.000 0.500
Se 0.000 0.500 0.000
Se 0.500 0.000 0.000
Se 0.500 0.500 0.500

=====

No. 3
Below is a relaxed structure of Si2NiPb, with properties calculated at the PBEsol level.

## Properties
Its density of states at the Fermi level is 3.882 states/eV per cell. The energy relative to the elements, uncorrected comes out at 0.29 eV per atom. Its space group is No. 71.

Cell lengths 2.824, 4.908, 9.839 Å; angles 90.00, 90.00, 90.00 degrees
Positions (direct):
Si 0.000 0.000 0.200
Si 0.000 0.000 0.800
Si 0.500 0.500 0.300
Si 0.500 0.500 0.700
Ni 0.000 0.500 0.500
Ni 0.500 0.000 0.000
Pb 0.000 0.500 0.000
Pb 0.500 0.000 0.500